Record 1
! CoRuNO2 | Alexandria via LeMat-Bulk | PBE+U | relaxed; values from VASP
! V: 11.653 Å³ per atom
! E: -6.2848 eV/atom
&SYSTEM
  ibrav = 0, nat = 5, ntyp = 4
/
ATOMIC_SPECIES
Co 58.93 Co.upf
Ru 101.07 Ru.upf
N 14.01 N.upf
O 16.00 O.upf
CELL_PARAMETERS angstrom
3.9544 0.0000 0.0000
0.0000 3.9544 0.0000
0.0000 0.0000 3.7260
ATOMIC_POSITIONS angstrom
Co 0.0000 0.0000 0.0000
Ru 1.9772 1.9772 1.8630
N 1.9772 1.9772 0.0000
O 0.0000 1.9772 1.8630
O 1.9772 0.0000 1.8630

***

Record 2
! CoSNO2 | Alexandria via LeMat-Bulk | PBE+U | relaxed; values from VASP
! V: 9.851 Å³ per atom
! E: -4.5884 eV/atom
&SYSTEM
  ibrav = 0, nat = 5, ntyp = 4
/
ATOMIC_SPECIES
Co 58.93 Co.upf
S 32.06 S.upf
N 14.01 N.upf
O 16.00 O.upf
CELL_PARAMETERS angstrom
3.6632 0.0000 0.0000
0.0000 3.6632 0.0000
0.0000 0.0000 3.6703
ATOMIC_POSITIONS angstrom
Co 0.0000 0.0000 0.0000
S 1.8316 1.8316 1.8352
N 0.0000 0.0000 1.8352
O 0.0000 1.8316 0.0000
O 1.8316 0.0000 0.0000

***

Record 3
! CoSNO2 | Alexandria via LeMat-Bulk | PBE+U | relaxed; values from VASP
! V: 9.862 Å³ per atom
! E: -4.8485 eV/atom
&SYSTEM
  ibrav = 0, nat = 5, ntyp = 4
/
ATOMIC_SPECIES
Co 58.93 Co.upf
S 32.06 S.upf
N 14.01 N.upf
O 16.00 O.upf
CELL_PARAMETERS angstrom
3.8749 0.0000 0.0000
0.0000 3.8749 0.0000
0.0000 0.0000 3.2840
ATOMIC_POSITIONS angstrom
Co 0.0000 0.0000 0.0000
S 1.9375 1.9375 1.6420
N 1.9375 1.9375 0.0000
O 0.0000 1.9375 1.6420
O 1.9375 0.0000 1.6420

***

Record 4
! ScCoNO2 | Alexandria via LeMat-Bulk | PBE+U | relaxed; values from VASP
! V: 13.598 Å³ per atom
! E: -6.3298 eV/atom
&SYSTEM
  ibrav = 0, nat = 5, ntyp = 4
/
ATOMIC_SPECIES
Sc 44.96 Sc.upf
Co 58.93 Co.upf
N 14.01 N.upf
O 16.00 O.upf
CELL_PARAMETERS angstrom
4.0275 0.0000 0.0000
0.0000 4.0275 0.0000
0.0000 0.0000 4.1913
ATOMIC_POSITIONS angstrom
Sc 0.0000 0.0000 0.0000
Co 2.0138 2.0138 2.0957
N 0.0000 0.0000 2.0957
O 0.0000 2.0138 0.0000
O 2.0138 0.0000 0.0000

***

Record 5
! ScCoNO2 | Alexandria via LeMat-Bulk | PBE+U | relaxed; values from VASP
! V: 9.935 Å³ per atom
! E: -6.8439 eV/atom
&SYSTEM
  ibrav = 0, nat = 5, ntyp = 4
/
ATOMIC_SPECIES
Sc 44.96 Sc.upf
Co 58.93 Co.upf
N 14.01 N.upf
O 16.00 O.upf
CELL_PARAMETERS angstrom
3.7704 0.0000 0.0000
0.0000 3.7704 0.0000
0.0000 0.0000 3.4942
ATOMIC_POSITIONS angstrom
Sc 0.0000 0.0000 0.0000
Co 1.8852 1.8852 1.7471
N 1.8852 1.8852 0.0000
O 0.0000 1.8852 1.7471
O 1.8852 0.0000 1.7471

***

Record 6
! CoSe2NO | Alexandria via LeMat-Bulk | PBE+U | relaxed; values from VASP
! V: 14.983 Å³ per atom
! relative energy among the computed polymorphs: 0.0 meV per atom
! E: -4.0251 eV/atom
&SYSTEM
  ibrav = 0, nat = 5, ntyp = 4
/
ATOMIC_SPECIES
Co 58.93 Co.upf
Se 78.96 Se.upf
N 14.01 N.upf
O 16.00 O.upf
CELL_PARAMETERS angstrom
4.7820 0.0000 0.0000
0.0000 4.7820 0.0000
0.0000 0.0000 3.2761
ATOMIC_POSITIONS angstrom
Co 0.0000 0.0000 0.0000
Se 0.0000 2.3910 0.0000
Se 2.3910 0.0000 0.0000
N 0.0000 0.0000 1.6381
O 2.3910 2.3910 1.6381

***

Record 7
! CoSeN2O | Alexandria via LeMat-Bulk | PBE+U | relaxed; values from VASP
! V: 12.568 Å³ per atom
! E: -4.7101 eV/atom
&SYSTEM
  ibrav = 0, nat = 5, ntyp = 4
/
ATOMIC_SPECIES
Co 58.93 Co.upf
Se 78.96 Se.upf
N 14.01 N.upf
O 16.00 O.upf
CELL_PARAMETERS angstrom
3.3978 0.0000 0.0000
0.0000 3.3978 0.0000
0.0000 0.0000 5.4433
ATOMIC_POSITIONS angstrom
Co 0.0000 0.0000 0.0000
Se 0.0000 0.0000 2.7217
N 0.0000 1.6989 0.0000
N 1.6989 0.0000 0.0000
O 1.6989 1.6989 2.7217

***

Record 8
! CoSeN2O | Alexandria via LeMat-Bulk | PBE+U | relaxed; values from VASP
! V: 10.215 Å³ per atom
! E: -4.7800 eV/atom
&SYSTEM
  ibrav = 0, nat = 5, ntyp = 4
/
ATOMIC_SPECIES
Co 58.93 Co.upf
Se 78.96 Se.upf
N 14.01 N.upf
O 16.00 O.upf
CELL_PARAMETERS angstrom
3.7133 0.0000 0.0000
0.0000 3.7133 0.0000
0.0000 0.0000 3.7041
ATOMIC_POSITIONS angstrom
Co 0.0000 0.0000 0.0000
Se 1.8567 1.8567 1.8521
N 0.0000 1.8567 0.0000
N 1.8567 0.0000 0.0000
O 0.0000 0.0000 1.8521

***

Record 9
! CoSeN2O | Alexandria via LeMat-Bulk | PBE+U | relaxed; values from VASP
! V: 11.643 Å³ per atom
! E: -3.9637 eV/atom
&SYSTEM
  ibrav = 0, nat = 5, ntyp = 4
/
ATOMIC_SPECIES
Co 58.93 Co.upf
Se 78.96 Se.upf
N 14.01 N.upf
O 16.00 O.upf
CELL_PARAMETERS angstrom
3.8280 0.0000 0.0000
0.0000 3.8280 0.0000
0.0000 0.0000 3.9728
ATOMIC_POSITIONS angstrom
Co 0.0000 0.0000 0.0000
Se 1.9140 1.9140 0.0000
N 0.0000 1.9140 1.9864
N 1.9140 0.0000 1.9864
O 1.9140 1.9140 1.9864

***

Record 10
! CoSeNO2 | Alexandria via LeMat-Bulk | PBE+U | relaxed; values from VASP
! V: 10.118 Å³ per atom
! E: -4.7358 eV/atom
&SYSTEM
  ibrav = 0, nat = 5, ntyp = 4
/
ATOMIC_SPECIES
Co 58.93 Co.upf
Se 78.96 Se.upf
N 14.01 N.upf
O 16.00 O.upf
CELL_PARAMETERS angstrom
3.6771 0.0000 0.0000
0.0000 3.6771 0.0000
0.0000 0.0000 3.7414
ATOMIC_POSITIONS angstrom
Co 0.0000 0.0000 0.0000
Se 1.8386 1.8386 1.8707
N 0.0000 0.0000 1.8707
O 0.0000 1.8386 0.0000
O 1.8386 0.0000 0.0000

***

Record 11
! CoSe2NO | Alexandria via LeMat-Bulk | PBE+U | relaxed; values from VASP
! V: 14.620 Å³ per atom
! relative energy among the computed polymorphs: 325.0 meV per atom
! E: -3.7001 eV/atom
&SYSTEM
  ibrav = 0, nat = 5, ntyp = 4
/
ATOMIC_SPECIES
Co 58.93 Co.upf
Se 78.96 Se.upf
N 14.01 N.upf
O 16.00 O.upf
CELL_PARAMETERS angstrom
4.3322 0.0000 0.0000
0.0000 4.3322 0.0000
0.0000 0.0000 3.8950
ATOMIC_POSITIONS angstrom
Co 0.0000 0.0000 0.0000
Se 0.0000 2.1661 1.9475
Se 2.1661 0.0000 1.9475
N 2.1661 2.1661 0.0000
O 2.1661 2.1661 1.9475

***

Record 12
! CoSeN2O | Alexandria via LeMat-Bulk | PBE+U | relaxed; values from VASP
! V: 10.911 Å³ per atom
! E: -4.6956 eV/atom
&SYSTEM
  ibrav = 0, nat = 5, ntyp = 4
/
ATOMIC_SPECIES
Co 58.93 Co.upf
Se 78.96 Se.upf
N 14.01 N.upf
O 16.00 O.upf
CELL_PARAMETERS angstrom
3.7786 0.0000 0.0000
0.0000 3.7786 0.0000
0.0000 0.0000 3.8210
ATOMIC_POSITIONS angstrom
Co 0.0000 0.0000 0.0000
Se 1.8893 1.8893 1.9105
N 0.0000 1.8893 1.9105
N 1.8893 0.0000 1.9105
O 1.8893 1.8893 0.0000

***

Record 13
! CoSiNO2 | Alexandria via LeMat-Bulk | PBE+U | relaxed; values from VASP
! V: 9.051 Å³ per atom
! E: -6.4519 eV/atom
&SYSTEM
  ibrav = 0, nat = 5, ntyp = 4
/
ATOMIC_SPECIES
Co 58.93 Co.upf
Si 28.09 Si.upf
N 14.01 N.upf
O 16.00 O.upf
CELL_PARAMETERS angstrom
3.5389 0.0000 0.0000
0.0000 3.5389 0.0000
0.0000 0.0000 3.6134
ATOMIC_POSITIONS angstrom
Co 0.0000 0.0000 0.0000
Si 1.7695 1.7695 1.8067
N 1.7695 1.7695 0.0000
O 0.0000 1.7695 1.8067
O 1.7695 0.0000 1.8067

***

Record 14
! CoSiNO2 | Alexandria via LeMat-Bulk | PBE+U | relaxed; values from VASP
! V: 10.143 Å³ per atom
! E: -5.3576 eV/atom
&SYSTEM
  ibrav = 0, nat = 5, ntyp = 4
/
ATOMIC_SPECIES
Co 58.93 Co.upf
Si 28.09 Si.upf
N 14.01 N.upf
O 16.00 O.upf
CELL_PARAMETERS angstrom
3.8442 0.0000 0.0000
0.0000 3.8442 0.0000
0.0000 0.0000 3.4318
ATOMIC_POSITIONS angstrom
Co 0.0000 0.0000 0.0000
Si 1.9221 1.9221 1.7159
N 0.0000 0.0000 1.7159
O 0.0000 1.9221 0.0000
O 1.9221 0.0000 0.0000

***

Record 15
! CoSnN2O | Alexandria via LeMat-Bulk | PBE+U | relaxed; values from VASP
! V: 13.936 Å³ per atom
! E: -5.0416 eV/atom
&SYSTEM
  ibrav = 0, nat = 5, ntyp = 4
/
ATOMIC_SPECIES
Co 58.93 Co.upf
Sn 118.71 Sn.upf
N 14.01 N.upf
O 16.00 O.upf
CELL_PARAMETERS angstrom
4.1354 0.0000 0.0000
0.0000 4.1354 0.0000
0.0000 0.0000 4.0745
ATOMIC_POSITIONS angstrom
Co 0.0000 0.0000 0.0000
Sn 2.0677 2.0677 2.0373
N 0.0000 2.0677 2.0373
N 2.0677 0.0000 2.0373
O 2.0677 2.0677 0.0000

***

Record 16
! CoSnN2O | Alexandria via LeMat-Bulk | PBE+U | relaxed; values from VASP
! V: 11.076 Å³ per atom
! E: -5.4628 eV/atom
&SYSTEM
  ibrav = 0, nat = 5, ntyp = 4
/
ATOMIC_SPECIES
Co 58.93 Co.upf
Sn 118.71 Sn.upf
N 14.01 N.upf
O 16.00 O.upf
CELL_PARAMETERS angstrom
3.6719 0.0000 0.0000
0.0000 3.6719 0.0000
0.0000 0.0000 4.1075
ATOMIC_POSITIONS angstrom
Co 0.0000 0.0000 0.0000
Sn 1.8360 1.8360 2.0538
N 0.0000 1.8360 0.0000
N 1.8360 0.0000 0.0000
O 0.0000 0.0000 2.0538

***

Record 17
! TaCoNO2 | Alexandria via LeMat-Bulk | PBE+U | relaxed; values from VASP
! V: 12.740 Å³ per atom
! E: -7.9408 eV/atom
&SYSTEM
  ibrav = 0, nat = 5, ntyp = 4
/
ATOMIC_SPECIES
Ta 180.95 Ta.upf
Co 58.93 Co.upf
N 14.01 N.upf
O 16.00 O.upf
CELL_PARAMETERS angstrom
3.9383 0.0000 0.0000
0.0000 3.9383 0.0000
0.0000 0.0000 4.1070
ATOMIC_POSITIONS angstrom
Ta 0.0000 0.0000 0.0000
Co 1.9691 1.9691 2.0535
N 0.0000 0.0000 2.0535
O 0.0000 1.9691 0.0000
O 1.9691 0.0000 0.0000

***

Record 18
! TaCoNO2 | Alexandria via LeMat-Bulk | PBE+U | relaxed; values from VASP
! V: 9.522 Å³ per atom
! E: -7.2422 eV/atom
&SYSTEM
  ibrav = 0, nat = 5, ntyp = 4
/
ATOMIC_SPECIES
Ta 180.95 Ta.upf
Co 58.93 Co.upf
N 14.01 N.upf
O 16.00 O.upf
CELL_PARAMETERS angstrom
3.5677 0.0000 0.0000
0.0000 3.5677 0.0000
0.0000 0.0000 3.7407
ATOMIC_POSITIONS angstrom
Ta 0.0000 0.0000 0.0000
Co 1.7838 1.7838 1.8703
N 1.7838 1.7838 0.0000
O 0.0000 1.7838 1.8703
O 1.7838 0.0000 1.8703

***

Record 19
! Co2TcNO | Alexandria via LeMat-Bulk | PBE+U | relaxed; values from VASP
! V: 12.470 Å³ per atom
! E: -5.8112 eV/atom
&SYSTEM
  ibrav = 0, nat = 5, ntyp = 4
/
ATOMIC_SPECIES
Co 58.93 Co.upf
Tc 98.00 Tc.upf
N 14.01 N.upf
O 16.00 O.upf
CELL_PARAMETERS angstrom
3.4534 0.0000 0.0000
0.0000 3.4534 0.0000
0.0000 0.0000 5.2280
ATOMIC_POSITIONS angstrom
Co 0.0000 1.7267 0.0000
Co 1.7267 0.0000 0.0000
Tc 0.0000 0.0000 2.6140
N 1.7267 1.7267 2.6140
O 1.7267 1.7267 0.0000

***

Record 20
! CoTeNO2 | Alexandria via LeMat-Bulk | PBE+U | relaxed; values from VASP
! V: 10.575 Å³ per atom
! E: -5.0535 eV/atom
&SYSTEM
  ibrav = 0, nat = 5, ntyp = 4
/
ATOMIC_SPECIES
Co 58.93 Co.upf
Te 127.60 Te.upf
N 14.01 N.upf
O 16.00 O.upf
CELL_PARAMETERS angstrom
3.6988 0.0000 0.0000
0.0000 3.6988 0.0000
0.0000 0.0000 3.8650
ATOMIC_POSITIONS angstrom
Co 0.0000 0.0000 0.0000
Te 1.8494 1.8494 1.9325
N 0.0000 0.0000 1.9325
O 0.0000 1.8494 0.0000
O 1.8494 0.0000 0.0000

***

Record 21
! CoTeN2O | Alexandria via LeMat-Bulk | PBE+U | relaxed; values from VASP
! V: 12.322 Å³ per atom
! E: -4.9166 eV/atom
&SYSTEM
  ibrav = 0, nat = 5, ntyp = 4
/
ATOMIC_SPECIES
Co 58.93 Co.upf
Te 127.60 Te.upf
N 14.01 N.upf
O 16.00 O.upf
CELL_PARAMETERS angstrom
3.9917 0.0000 0.0000
0.0000 3.9917 0.0000
0.0000 0.0000 3.8666
ATOMIC_POSITIONS angstrom
Co 0.0000 0.0000 0.0000
Te 1.9959 1.9959 1.9333
N 0.0000 1.9959 1.9333
N 1.9959 0.0000 1.9333
O 1.9959 1.9959 0.0000

***

Record 22
! CoTeN2O | Alexandria via LeMat-Bulk | PBE+U | relaxed; values from VASP
! V: 13.172 Å³ per atom
! E: -4.9281 eV/atom
&SYSTEM
  ibrav = 0, nat = 5, ntyp = 4
/
ATOMIC_SPECIES
Co 58.93 Co.upf
Te 127.60 Te.upf
N 14.01 N.upf
O 16.00 O.upf
CELL_PARAMETERS angstrom
3.4545 0.0000 0.0000
0.0000 3.4545 0.0000
0.0000 0.0000 5.5190
ATOMIC_POSITIONS angstrom
Co 0.0000 0.0000 0.0000
Te 0.0000 0.0000 2.7595
N 0.0000 1.7272 0.0000
N 1.7272 0.0000 0.0000
O 1.7272 1.7272 2.7595

***

Record 23
! CoTeN2O | Alexandria via LeMat-Bulk | PBE+U | relaxed; values from VASP
! V: 12.826 Å³ per atom
! E: -3.9522 eV/atom
&SYSTEM
  ibrav = 0, nat = 5, ntyp = 4
/
ATOMIC_SPECIES
Co 58.93 Co.upf
Te 127.60 Te.upf
N 14.01 N.upf
O 16.00 O.upf
CELL_PARAMETERS angstrom
3.9357 0.0000 0.0000
0.0000 3.9357 0.0000
0.0000 0.0000 4.1402
ATOMIC_POSITIONS angstrom
Co 0.0000 0.0000 0.0000
Te 1.9678 1.9678 0.0000
N 0.0000 1.9678 2.0701
N 1.9678 0.0000 2.0701
O 1.9678 1.9678 2.0701

***

Record 24
! CoTeNO2 | Alexandria via LeMat-Bulk | PBE+U | relaxed; values from VASP
! V: 12.628 Å³ per atom
! E: -4.8678 eV/atom
&SYSTEM
  ibrav = 0, nat = 5, ntyp = 4
/
ATOMIC_SPECIES
Co 58.93 Co.upf
Te 127.60 Te.upf
N 14.01 N.upf
O 16.00 O.upf
CELL_PARAMETERS angstrom
3.9698 0.0000 0.0000
0.0000 3.9698 0.0000
0.0000 0.0000 4.0067
ATOMIC_POSITIONS angstrom
Co 0.0000 0.0000 0.0000
Te 1.9849 1.9849 2.0033
N 1.9849 1.9849 0.0000
O 0.0000 1.9849 2.0033
O 1.9849 0.0000 2.0033

***

Record 25
! CoTeN2O | Alexandria via LeMat-Bulk | PBE+U | relaxed; values from VASP
! V: 10.578 Å³ per atom
! E: -5.0458 eV/atom
&SYSTEM
  ibrav = 0, nat = 5, ntyp = 4
/
ATOMIC_SPECIES
Co 58.93 Co.upf
Te 127.60 Te.upf
N 14.01 N.upf
O 16.00 O.upf
CELL_PARAMETERS angstrom
3.7557 0.0000 0.0000
0.0000 3.7557 0.0000
0.0000 0.0000 3.7494
ATOMIC_POSITIONS angstrom
Co 0.0000 0.0000 0.0000
Te 1.8779 1.8779 1.8747
N 0.0000 1.8779 0.0000
N 1.8779 0.0000 0.0000
O 0.0000 0.0000 1.8747

***

Record 26
! TiCoN2O | Alexandria via LeMat-Bulk | PBE+U | relaxed; values from VASP
! V: 9.404 Å³ per atom
! E: -6.7460 eV/atom
&SYSTEM
  ibrav = 0, nat = 5, ntyp = 4
/
ATOMIC_SPECIES
Ti 47.87 Ti.upf
Co 58.93 Co.upf
N 14.01 N.upf
O 16.00 O.upf
CELL_PARAMETERS angstrom
3.5974 0.0000 0.0000
0.0000 3.5974 0.0000
0.0000 0.0000 3.6333
ATOMIC_POSITIONS angstrom
Ti 0.0000 0.0000 0.0000
Co 1.7987 1.7987 1.8167
N 0.0000 1.7987 1.8167
N 1.7987 0.0000 1.8167
O 1.7987 1.7987 0.0000

***

Record 27
! TiCoNO2 | Alexandria via LeMat-Bulk | PBE+U | relaxed; values from VASP
! V: 9.429 Å³ per atom
! E: -6.7255 eV/atom
&SYSTEM
  ibrav = 0, nat = 5, ntyp = 4
/
ATOMIC_SPECIES
Ti 47.87 Ti.upf
Co 58.93 Co.upf
N 14.01 N.upf
O 16.00 O.upf
CELL_PARAMETERS angstrom
3.5837 0.0000 0.0000
0.0000 3.5837 0.0000
0.0000 0.0000 3.6707
ATOMIC_POSITIONS angstrom
Ti 0.0000 0.0000 0.0000
Co 1.7919 1.7919 1.8354
N 1.7919 1.7919 0.0000
O 0.0000 1.7919 1.8354
O 1.7919 0.0000 1.8354

***

Record 28
! TiCoN2O | Alexandria via LeMat-Bulk | PBE+U | relaxed; values from VASP
! V: 11.860 Å³ per atom
! E: -6.8738 eV/atom
&SYSTEM
  ibrav = 0, nat = 5, ntyp = 4
/
ATOMIC_SPECIES
Ti 47.87 Ti.upf
Co 58.93 Co.upf
N 14.01 N.upf
O 16.00 O.upf
CELL_PARAMETERS angstrom
3.9348 0.0000 0.0000
0.0000 3.9348 0.0000
0.0000 0.0000 3.8299
ATOMIC_POSITIONS angstrom
Ti 0.0000 0.0000 0.0000
Co 1.9674 1.9674 1.9149
N 0.0000 1.9674 0.0000
N 1.9674 0.0000 0.0000
O 0.0000 0.0000 1.9149

***

Record 29
! TiCoNO2 | Alexandria via LeMat-Bulk | PBE+U | relaxed; values from VASP
! V: 11.604 Å³ per atom
! E: -7.0532 eV/atom
&SYSTEM
  ibrav = 0, nat = 5, ntyp = 4
/
ATOMIC_SPECIES
Ti 47.87 Ti.upf
Co 58.93 Co.upf
N 14.01 N.upf
O 16.00 O.upf
CELL_PARAMETERS angstrom
3.8217 0.0000 0.0000
0.0000 3.8217 0.0000
0.0000 0.0000 3.9725
ATOMIC_POSITIONS angstrom
Ti 0.0000 0.0000 0.0000
Co 1.9109 1.9109 1.9863
N 0.0000 0.0000 1.9863
O 0.0000 1.9109 0.0000
O 1.9109 0.0000 0.0000